(1)
Ac4AlGa4, relaxed, DFT PBE; density = 7.592 g/cm³; E_tot = -3.931 eV per atom; energy of formation = -0.34 eV/atom; Fermi-level density of states = 0.49 states/eV per atom
1.0
9.5030 0.0000 0.0000
0.0000 9.5030 0.0000
0.0000 0.0000 5.8799
Ac Al Ga
8 2 8
direct
0.0646 0.8377 0.1310
0.1623 0.5646 0.6310
0.3377 0.9354 0.6310
0.4354 0.6623 0.1310
0.5646 0.3377 0.8690
0.6623 0.0646 0.3690
0.8377 0.4354 0.3690
0.9354 0.1623 0.8690
0.2500 0.2500 0.7500
0.7500 0.7500 0.2500
0.0935 0.1807 0.3798
0.1807 0.4065 0.1202
0.3193 0.0935 0.1202
0.4065 0.3193 0.3798
0.5935 0.6807 0.6202
0.6807 0.9065 0.8798
0.8193 0.5935 0.8798
0.9065 0.8193 0.6202

=====

(2)
GdAsAu2, relaxed, DFT PBE; density = 11.969 g/cm³; E_tot = -6.099 eV per atom; energy of formation = 0.22 eV/atom; Fermi-level density of states = 0.55 states/eV per atom
1.0
3.1151 0.0000 0.0000
-1.5575 2.6977 0.0000
0.0000 0.0000 31.0094
Gd As Au
3 3 6
direct
0.0000 0.0000 0.0000
0.3333 0.6667 0.6667
0.6667 0.3333 0.3333
0.0000 0.0000 0.5000
0.3333 0.6667 0.1667
0.6667 0.3333 0.8333
0.0000 0.0000 0.0932
0.0000 0.0000 0.9068
0.3333 0.6667 0.5735
0.3333 0.6667 0.7599
0.6667 0.3333 0.2401
0.6667 0.3333 0.4265

=====

(3)
Al2AuBr, relaxed, DFT PBE; density = 6.735 g/cm³; uncorrected formation energy = -151.9 meV per atom; E_tot = -3.261 eV per atom; E above lowest polymorph = 203 meV/atom; Fermi-level density of states = 0.32 states/eV per atom
1.0
3.3569 0.0000 0.0000
0.0000 4.4654 0.0000
0.0000 0.0000 5.4415
Al Au Br
2 1 1
direct
0.0000 0.0000 0.0000
0.5000 0.5000 0.5000
0.0000 0.0000 0.5000
0.5000 0.5000 0.0000